1.
Computed, not measured: a relaxed structure of LaCdSi2 at the PBE-GGA level of DFT.

Calculated values
- Crystal system: tetragonal
- Symmetry: P4/mmm (123)
- Formation energy without anion corrections: -209 meV per atom

Cell lengths 4.566, 4.566, 4.224 Å; angles 90.00, 90.00, 90.00 degrees
Sites, in units of the cell vectors:
La 0.000 0.000 0.000
Cd 0.500 0.500 0.000
Si 0.000 0.500 0.500
Si 0.500 0.000 0.500

***

2.
Computed, not measured: a relaxed structure of LaCdSi2 at the PBE-GGA level of DFT.

Calculated values
- Crystal system: monoclinic
- Symmetry: Pm (6)
- Formation energy without anion corrections: -273 meV per atom

Cell lengths 4.475, 3.953, 5.606 Å; angles 90.00, 112.45, 90.00 degrees
Sites, in units of the cell vectors:
La 0.000 0.000 0.000
Cd 0.702 0.500 0.411
Si 0.290 0.000 0.577
Si 0.435 0.500 0.862

***

3.
Computed, not measured: a relaxed structure of LaCdSi2 at the PBE-GGA level of DFT.

Calculated values
- Crystal system: tetragonal
- Symmetry: I-4m2 (119)
- Formation energy without anion corrections: -95 meV per atom

Cell lengths 5.753, 5.753, 5.753 Å; angles 136.35, 136.35, 63.44 degrees
Sites, in units of the cell vectors:
La 0.000 0.000 0.000
Cd 0.750 0.250 0.500
Si 0.250 0.750 0.500
Si 0.500 0.500 0.000